No. 1
## CuSb2P (PBE)

Data for a relaxed CuSb2P crystal.

Structure (extended XYZ):
```
4
Lattice="3.774 0.000 0.000 0.000 2.934 0.605 0.000 1.976 8.326" Properties=species:S:1:pos:R:3 pbc="T T T"
Sb 0.000 1.301 0.333
Sb 0.000 1.154 4.132
P 1.887 3.683 6.698
Cu 1.887 1.228 2.233
```

Properties
- VASP energy: -16.64 eV/f.u.
- Uncorrected formation energy: 1.11 eV/f.u.



No. 2
## Hf12InHg3 (PBE)

Data for a relaxed Hf12InHg3 crystal.

Structure (extended XYZ):
```
16
Lattice="4.405 0.000 0.000 0.000 4.405 0.000 0.000 0.000 17.628" Properties=species:S:1:pos:R:3 pbc="T T T"
Hf 0.000 2.203 6.615
Hf 2.203 0.000 2.213
Hf 2.203 2.203 0.000
Hf 2.203 0.000 6.615
Hf 0.000 2.203 2.213
Hf 0.000 2.203 15.415
Hf 0.000 2.203 11.013
Hf 2.203 2.203 4.424
Hf 2.203 0.000 11.013
Hf 2.203 2.203 13.204
Hf 2.203 0.000 15.415
Hf 2.203 2.203 8.814
Hg 0.000 0.000 8.814
Hg 0.000 0.000 4.425
Hg 0.000 0.000 13.203
In 0.000 0.000 0.000
```

Properties
- VASP energy: -124.15 eV/f.u.
- ΔE_f: -67 meV/atom